(1)
DFT (PBE) results for SrPt4W after structural relaxation.

abc: 5.3925 5.3925 5.3925
angles: 60.00 60.00 60.00
Closest atoms and distances in Å follow each position.
Fractional coordinates of all 6 atoms:
Sr  0.0000  0.0000  0.0000  12 Pt 3.16, 4 W 3.30
Pt  0.3758  0.3758  0.3758  6 Pt 2.68-2.71
Pt  0.3758  0.3758  0.8727  6 Pt 2.68-2.71
Pt  0.3758  0.8727  0.3758  6 Pt 2.68-2.71
Pt  0.8727  0.3758  0.3758  6 Pt 2.68-2.71
W  0.7500  0.7500  0.7500  12 Pt 3.16, 4 Sr 3.30

Values from the calculation:
- Mass density: 15.75 Mg/m³
- Size of the total moment: 0.415 μB per atom
- Fermi-level density of states: 8.2 states/eV/cell

---

(2)
DFT (PBE) results for Sr2PtW after structural relaxation.

abc: 3.8719 3.8719 6.9590
angles: 90.00 90.00 90.00
Closest atoms and distances in Å follow each position.
Fractional coordinates of all 4 atoms:
Sr  0.0000  0.0000  0.2342  4 Pt 3.19, 1 Sr 3.26, 4 W 3.30
Sr  0.0000  0.0000  0.7658  4 Pt 3.19, 1 Sr 3.26, 4 W 3.30
Pt  0.5000  0.5000  0.0000  8 Sr 3.19, 2 W 3.48
W  0.5000  0.5000  0.5000  8 Sr 3.30, 2 Pt 3.48

Values from the calculation:
- Mass density: 8.82 Mg/m³
- Energy above the lowest structure with this stoichiometry: 1.51 eV/f.u.
- Size of the total moment: 0.813 μB per atom
- Fermi-level density of states: 2.1 states/eV/cell

---

(3)
DFT (PBE) results for SrPt3W after structural relaxation.

abc: 4.9783 4.9783 4.9783
angles: 90.00 90.00 90.00
Closest atoms and distances in Å follow each position.
Fractional coordinates of all 5 atoms:
Sr  0.0000  0.0000  0.0000  6 Pt 2.49
Pt  0.0000  0.0000  0.5000  2 Sr 2.49
Pt  0.0000  0.5000  0.0000  2 Sr 2.49
Pt  0.5000  0.0000  0.0000  2 Sr 2.49
W  0.5000  0.5000  0.5000  12 Pt 3.52

Values from the calculation:
- Mass density: 11.53 Mg/m³
- Energy above the lowest structure with this stoichiometry: 11.69 eV/f.u.
- Size of the total moment: 0.000 μB per atom
- Fermi-level density of states: 13.6 states/eV/cell

---

For reference, E_form by record: 0.044, 0.638, 2.439 eV per atom.